(1)
Entry from Alexandria via LeMat-Bulk: crystalline Tb5Ni2Ge at its relaxed geometry (GGA-PBE).

Properties
SG: I4/mcm
ΔH_f (0 K) in eV/atom: -0.457
Spin magnetization in μB/atom: 0.0000
Volume in Å³/cell: 375.3
Fermi-level density of states in states/eV/cell: 14.813

a = 7.6088 Å, b = 7.6088 Å, c = 8.4244 Å
α = 116.85°, β = 116.85°, γ = 90.00°
With the nearest neighbours (Å) after each atom.
Sites, in units of the cell vectors:
Tb: 0.0200 0.5200 0.7176  3 Ni 2.87-2.93, 2 Ge 3.18
Tb: 0.3024 0.8024 0.2824  3 Ni 2.87-2.93, 2 Ge 3.18
Tb: 0.0000 0.0000 0.0000  4 Ni 3.00, 2 Ge 3.24
Tb: 0.5000 0.5000 0.0000  4 Ni 3.00, 2 Ge 3.24
Tb: 0.4800 0.3024 0.2824  3 Ni 2.87-2.93, 2 Ge 3.18
Tb: 0.8024 0.9800 0.2824  3 Ni 2.87-2.93, 2 Ge 3.18
Ge: 0.7500 0.7500 0.5000  10 Tb 3.18-3.24
Ge: 0.2500 0.2500 0.5000  10 Tb 3.18-3.24
Tb: 0.9800 0.4800 0.2824  3 Ni 2.87-2.93, 2 Ge 3.18
Ni: 0.3735 0.8735 0.0000  1 Ni 2.72, 8 Tb 2.87-3.00
Tb: 0.1976 0.0200 0.7176  3 Ni 2.87-2.93, 2 Ge 3.18
Ni: 0.1265 0.3735 0.0000  1 Ni 2.72, 8 Tb 2.87-3.00
Ni: 0.6265 0.1265 0.0000  1 Ni 2.72, 8 Tb 2.87-3.00
Ni: 0.8735 0.6265 0.0000  1 Ni 2.72, 8 Tb 2.87-3.00
Tb: 0.6976 0.1976 0.7176  3 Ni 2.87-2.93, 2 Ge 3.18
Tb: 0.5200 0.6976 0.7176  3 Ni 2.87-2.93, 2 Ge 3.18



(2)
Entry from Alexandria via LeMat-Bulk: crystalline TbNiGe2 at its relaxed geometry (GGA-PBE).

Properties
SG: Pnma
ΔH_f (0 K) in eV/atom: -0.694
Spin magnetization in μB/atom: 0.0000
Volume in Å³/cell: 290.2
Fermi-level density of states in states/eV/cell: 5.952

a = 4.1388 Å, b = 6.8207 Å, c = 10.2814 Å
α = 90.00°, β = 90.00°, γ = 90.00°
With the nearest neighbours (Å) after each atom.
Sites, in units of the cell vectors:
Ni: 0.7500 0.9900 0.3629  5 Ge 2.30-2.42
Ge: 0.2500 0.3419 0.0658  3 Ni 2.38-2.42
Tb: 0.2500 0.3216 0.3682  9 Ge 3.01-3.34, 4 Ni 3.07-3.35
Ge: 0.2500 0.8609 0.8376  2 Ni 2.30-2.41
Tb: 0.7500 0.6784 0.6318  9 Ge 3.01-3.34, 4 Ni 3.07-3.35
Ge: 0.7500 0.6581 0.9342  3 Ni 2.38-2.42
Ge: 0.2500 0.8419 0.4342  3 Ni 2.38-2.42
Tb: 0.7500 0.1784 0.8682  9 Ge 3.01-3.34, 4 Ni 3.07-3.35
Ni: 0.2500 0.5100 0.8629  5 Ge 2.30-2.42
Ni: 0.7500 0.4900 0.1371  5 Ge 2.30-2.42
Tb: 0.2500 0.8216 0.1318  9 Ge 3.01-3.34, 4 Ni 3.07-3.35
Ni: 0.2500 0.0100 0.6371  5 Ge 2.30-2.42
Ge: 0.2500 0.3609 0.6624  2 Ni 2.30-2.41
Ge: 0.7500 0.6391 0.3376  2 Ni 2.30-2.41
Ge: 0.7500 0.1391 0.1624  2 Ni 2.30-2.41
Ge: 0.7500 0.1581 0.5658  3 Ni 2.38-2.42



(3)
Entry from Alexandria via LeMat-Bulk: crystalline TbNi6Ge2 at its relaxed geometry (GGA-PBE).

Properties
SG: P4/mmm
ΔH_f (0 K) in eV/atom: -0.310
Spin magnetization in μB/atom: 0.0852
Volume in Å³/cell: 125.2
Fermi-level density of states in states/eV/cell: 13.429

a = 4.0106 Å, b = 4.0106 Å, c = 7.7817 Å
α = 90.00°, β = 90.00°, γ = 90.00°
With the nearest neighbours (Å) after each atom.
Sites, in units of the cell vectors:
Ni: 0.0000 0.0000 0.5000  8 Ni 2.46
Ni: 0.5000 0.0000 0.3161  2 Ge 2.33, 4 Ni 2.46
Ge: 0.5000 0.5000 0.1635  4 Ni 2.33, 1 Ge 2.54
Tb: 0.0000 0.0000 0.0000  8 Ge 3.11, 8 Ni 3.17
Ni: 0.0000 0.5000 0.3161  2 Ge 2.33, 4 Ni 2.46
Ni: 0.5000 0.0000 0.6839  2 Ge 2.33, 4 Ni 2.46
Ni: 0.0000 0.5000 0.6839  2 Ge 2.33, 4 Ni 2.46
Ni: 0.5000 0.5000 0.5000  8 Ni 2.46, 2 Ge 2.62
Ge: 0.5000 0.5000 0.8365  4 Ni 2.33, 1 Ge 2.54